This record from the Alexandria database describes crystalline TaHg2MoPd at its relaxed geometry. The functional is GGA-PBE.

Cell lengths 4.9106, 4.9106, 4.8108 Å; angles 90.00, 90.00, 90.00 degrees
Space group P4/mmm (No. 123)
One atom of each set of equivalent atoms:
Ta1 0.0000 0.0000 0.0000 [1 per cell]
Hg1 0.0000 0.5000 0.5000 [2 per cell]
Mo1 0.5000 0.5000 0.0000 [1 per cell]
Pd1 0.5000 0.5000 0.5000 [1 per cell]

Energy of formation   1608 meV/atom
Spin magnetization   0.0 Bohr magnetons per cell
Volume   23.2 Å³/atom
E_tot   -4.09 eV/atom